VASP calculation (PBE-GGA) on Sr3Zn4Si2 after structural relaxation.

Calculated values
Space-group type: C2/m (12)
Total DFT energy (no corrections): -24.12 eV/cell
ΔE_f (raw): -0.35 eV per atom

abc: 6.2609 6.2609 8.8318
angles: 100.76 100.76 40.74
Fractional coordinates of all 9 atoms:
Sr 0.0000 0.0000 0.0000
Sr 0.3322 0.3322 0.3394
Sr 0.6678 0.6678 0.6606
Zn 0.0524 0.0524 0.3821
Zn 0.2786 0.2786 0.9357
Zn 0.7214 0.7214 0.0643
Zn 0.9476 0.9476 0.6179
Si 0.3907 0.3907 0.7245
Si 0.6093 0.6093 0.2755